Entry 1:
Compound: ZnCd3Ge
Source: the Alexandria database
Functional: PBE-GGA
Structure: relaxed

The structure belongs to space group Pm-3m (No. 221); the cell edges are 5.311, 5.311 and 5.311 Å and the angles 90.00°, 90.00° and 90.00°. The distinct sites, in fractional coordinates, are Zn at (0.000, 0.000, 0.000), Cd at (0.000, 0.500, 0.500) and Ge at (0.500, 0.500, 0.500).

As for the total magnetization: 0.000 μB per formula unit. The value obtained for the formation energy is 0.4033 eV/atom. Its total energy is -1.3240 eV/atom.

***

Entry 2:
Compound: Zn2CdGe
Source: the Alexandria database
Functional: PBE-GGA
Structure: relaxed

The structure belongs to space group P4/mmm (No. 123); the cell edges are 4.233, 4.233 and 4.140 Å and the angles 90.00°, 90.00° and 90.00°. The distinct sites, in fractional coordinates, are Zn at (0.000, 0.500, 0.000), Cd at (0.000, 0.000, 0.500) and Ge at (0.500, 0.500, 0.500).

As for the total magnetization: 0.000 μB per formula unit. The value obtained for the formation energy is 0.1618 eV/atom. Its total energy is -1.8583 eV/atom.

***

Entry 3:
Compound: Zn2CdGe2
Source: the Alexandria database
Functional: PBE-GGA
Structure: relaxed

The structure belongs to space group I4/mmm (No. 139); the cell edges are 4.239, 4.239 and 11.034 Å and the angles 90.00°, 90.00° and 90.00°. The distinct sites, in fractional coordinates, are Zn at (0.000, 0.500, 0.250), Cd at (0.000, 0.000, 0.000) and Ge at (0.000, 0.000, 0.387).

As for the total magnetization: 0.000 μB per formula unit. The value obtained for the formation energy is 0.1508 eV/atom. Its total energy is -2.3887 eV/atom.

***

Entry 4:
Compound: Zn2Cd2Ge
Source: the Alexandria database
Functional: PBE-GGA
Structure: relaxed

The structure belongs to space group I4/mmm (No. 139); the cell edges are 4.079, 4.079 and 12.486 Å and the angles 90.00°, 90.00° and 90.00°. The distinct sites, in fractional coordinates, are Zn at (0.000, 0.000, 0.095), Cd at (0.000, 0.500, 0.250) and Ge at (0.000, 0.000, 0.500).

As for the total magnetization: 0.000 μB per formula unit. The value obtained for the formation energy is 0.2514 eV/atom. Its total energy is -1.5477 eV/atom.

***

Q: Which value of total energy does entry 1 give?
A: -1.3240 eV/atom

***

Q: Which value of total magnetization does entry 2 give?
A: 0.000 μB per formula unit